1.
Density functional theory data (PBE) for an optimized crystal structure of Hg2PRu.

abc: 9.281 9.281 2.804
angles: 77.83 77.83 23.10
Each line ends with the local moment (μB).
Fractional coordinates of all 4 atoms:
Hg 0.331 0.331 0.792  0.00
Hg 0.669 0.669 0.208  0.00
P 0.500 0.500 0.000  -0.01
Ru 0.000 0.000 0.500  0.29

Computed properties:
- SG = No. 12
- crystal system = monoclinic
- E_tot (eV per formula unit) = -14.6

***

2.
Density functional theory data (PBE) for an optimized crystal structure of Hg2PRu.

abc: 2.944 2.944 8.746
angles: 90.00 90.00 90.00
Each line ends with the local moment (μB).
Fractional coordinates of all 4 atoms:
Hg 0.000 0.000 0.734  0.01
Hg 0.000 0.000 0.266  0.01
P 0.500 0.500 0.000  0.04
Ru 0.500 0.500 0.500  1.45

Computed properties:
- SG = No. 123
- crystal system = tetragonal
- E_tot (eV per formula unit) = -12.3

***

3.
Density functional theory data (PBE) for an optimized crystal structure of HgPRu2.

abc: 7.464 7.464 7.464
angles: 157.25 156.04 33.28
Fractional coordinates of all 4 atoms:
Hg 0.557 0.557 0.000
P 0.299 0.799 0.500
Ru 0.914 0.914 0.000
Ru 0.730 0.230 0.500

Computed properties:
- relative energy among the computed polymorphs (eV per atom) = 0.017
- SG = No. 44
- crystal system = orthorhombic

***

4.
Density functional theory data (PBE) for an optimized crystal structure of HgPRu2.

abc: 4.397 4.397 3.147
angles: 90.00 90.00 90.00
Fractional coordinates of all 4 atoms:
Hg 0.500 0.500 0.500
P 0.000 0.000 0.500
Ru 0.500 0.000 0.000
Ru 0.000 0.500 0.000

Computed properties:
- relative energy among the computed polymorphs (eV per atom) = 0.529
- SG = No. 123
- crystal system = tetragonal

***

5.
Density functional theory data (PBE) for an optimized crystal structure of Hg2PRu.

abc: 4.951 4.951 3.319
angles: 90.00 90.00 115.28
Fractional coordinates of all 4 atoms:
Hg 0.500 0.000 0.000
Hg 0.000 0.500 0.000
P 0.000 0.000 0.500
Ru 0.500 0.500 0.500

Computed properties:
- SG = No. 65
- crystal system = orthorhombic
- E_tot (eV per formula unit) = -12.7

***

6.
Density functional theory data (PBE) for an optimized crystal structure of Hg2PRu.

abc: 5.456 5.456 3.596
angles: 90.00 90.00 133.42
Fractional coordinates of all 4 atoms:
Hg 0.025 0.975 0.000
Hg 0.719 0.281 0.500
P 0.305 0.695 0.000
Ru 0.436 0.564 0.500

Computed properties:
- SG = No. 38
- crystal system = orthorhombic
- E_tot (eV per formula unit) = -14.5

***

7.
Density functional theory data (PBE) for an optimized crystal structure of HgPRu2.

abc: 6.554 6.554 6.554
angles: 31.57 31.57 31.57
Each line ends with the local moment (μB).
Fractional coordinates of all 4 atoms:
Hg 0.000 0.000 0.000  0.01
P 0.500 0.500 0.500  -0.01
Ru 0.779 0.779 0.779  0.49
Ru 0.221 0.221 0.221  0.49

Computed properties:
- relative energy among the computed polymorphs (eV per atom) = 0.000
- SG = No. 166
- crystal system = trigonal

***

8.
Density functional theory data (PBE) for an optimized crystal structure of Hg2PRu.

abc: 3.743 3.743 5.281
angles: 90.00 90.00 90.00
Fractional coordinates of all 4 atoms:
Hg 0.000 0.000 0.749
Hg 0.000 0.000 0.251
P 0.500 0.500 0.000
Ru 0.500 0.500 0.500

Computed properties:
- SG = No. 123
- crystal system = tetragonal
- E_tot (eV per formula unit) = -12.7

***

The records above yield D(E_F) values of 1.972; 3.201; 2.781; 5.263; 3.462; 1.668; 2.683; 3.254 states/eV per cell, respectively.